1.
Entry from Alexandria: crystalline K2BaMn at its relaxed geometry (PBE).

Output
As for the size of the total moment: 4.2 μB per formula unit. The energy above the most stable polymorph in this dataset is 0.1121 eV/atom. The total energy is -2.7291 eV per atom. Its symmetry is No. 139. For the formation energy, the calculation gives 593 meV/atom.

a b c (Å): 7.816 7.816 7.816
angles (deg): 140.25 140.25 57.48
Last column: magnetic moment on the atom in μB.
Element x y z (fractional)
Mn  0.250  0.750  0.500  4.22
K  0.500  0.500  0.000  -0.01
K  0.000  0.000  0.000  -0.01
Ba  0.750  0.250  0.500  -0.09

***

2.
Entry from Alexandria: crystalline BaB6N6 at its relaxed geometry (PBE).

Output
As for the size of the total moment: 0.0 μB per formula unit. The total energy is -7.1145 eV per atom. Its symmetry is No. 200.

a b c (Å): 4.748 4.748 4.748
angles (deg): 90.00 90.00 90.00
Element x y z (fractional)
Ba  0.500  0.500  0.500
B  0.000  0.500  0.753
B  0.000  0.500  0.247
B  0.500  0.753  0.000
B  0.247  0.000  0.500
B  0.500  0.247  0.000
B  0.753  0.000  0.500
N  0.247  0.500  0.000
N  0.000  0.247  0.500
N  0.000  0.753  0.500
N  0.500  0.000  0.753
N  0.753  0.500  0.000
N  0.500  0.000  0.247

***

3.
Entry from Alexandria: crystalline AgRu2Br at its relaxed geometry (PBE).

Output
As for the size of the total moment: 1.7 μB per formula unit. The energy above the most stable polymorph in this dataset is 0.6013 eV/atom. The total energy is -4.7533 eV per atom. Its symmetry is No. 47.

a b c (Å): 2.899 4.870 4.805
angles (deg): 90.00 90.00 90.00
Last column: magnetic moment on the atom in μB.
Element x y z (fractional)
Ru  0.500  0.500  0.000  0.47
Ru  0.000  0.000  0.000  1.07
Br  0.000  0.500  0.500  0.04
Ag  0.500  0.000  0.500  0.04